1.
Material: ScAlCl2
Method: DFT, meta-GGA SCAN
State: PBEsol geometry

## Properties
The value obtained for the density of states at the Fermi level is 13.93 states/eV per cell. Its energy above the most stable polymorph in this dataset is 271 kJ/mol of formula units. The energy relative to the elements, uncorrected is -134 kJ/mol of formula units. Its electronic total energy is -9.83 eV/atom.

Unit cell a=6.9065 b=6.9065 c=6.9065 alpha=90.00 beta=90.00 gamma=90.00
With the nearest neighbours (Å) after each atom.
Space group F-43m (No. 216)
One atom of each set of equivalent atoms:
Sc 0.0000 0.0000 0.0000 (multiplicity 4)  4 Cl 2.99, 4 Al 2.99
Al 0.2500 0.2500 0.7500 (multiplicity 4)  4 Cl 2.99, 4 Sc 2.99
Cl 0.0000 0.0000 0.5000 (multiplicity 4)  4 Cl 2.99, 4 Al 2.99
Cl 0.2500 0.2500 0.2500 (multiplicity 4)  4 Cl 2.99, 4 Sc 2.99

2.
Material: CaNi2Pb2
Method: DFT, meta-GGA SCAN
State: PBEsol geometry

## Properties
The value obtained for the density of states at the Fermi level is 6.28 states/eV per cell. Its electronic total energy is -38.78 eV/atom.

Unit cell a=4.6442 b=4.6442 c=9.6705 alpha=90.00 beta=90.00 gamma=90.00
With the nearest neighbours (Å) after each atom.
Space group I4/mmm (No. 139)
One atom of each set of equivalent atoms:
Ca 0.0000 0.0000 0.0000 (multiplicity 2)  8 Pb 3.35, 10 Ni 3.48-3.69
Ni 0.0000 0.0000 0.3813 (multiplicity 4)  1 Ni 2.30
Pb 0.0000 0.5000 0.2500 (multiplicity 4)  4 Ni 2.65

3.
Material: BaIn2Pt
Method: DFT, meta-GGA SCAN
State: PBEsol geometry

## Properties
The value obtained for the density of states at the Fermi level is 5.87 states/eV per cell. Its electronic total energy is -44.91 eV/atom.

Unit cell a=4.5203 b=11.5355 c=7.9667 alpha=90.00 beta=90.00 gamma=90.00
With the nearest neighbours (Å) after each atom.
Space group Cmcm (No. 63)
One atom of each set of equivalent atoms:
Ba 0.0000 0.0535 0.2500 (multiplicity 4)  3 Pt 3.19-3.42, 4 In 3.55
In 0.0000 0.3380 0.0564 (multiplicity 8)  3 Pt 2.78-2.83, 1 In 3.08
Pt 0.0000 0.2234 0.7500 (multiplicity 4)  6 In 2.78-2.83

4.
Material: Rb4SbRhCl12
Method: DFT, meta-GGA SCAN
State: PBEsol geometry

## Properties
The value obtained for the density of states at the Fermi level is 7.20 states/eV per cell. The energy relative to the elements, uncorrected is -2568 kJ/mol of formula units. Its electronic total energy is -15.35 eV/atom.

Unit cell a=6.9738 b=6.9738 c=10.1365 alpha=90.00 beta=90.00 gamma=90.00
With the nearest neighbours (Å) after each atom.
Space group P4/mmm (No. 123)
One atom of each set of equivalent atoms:
Rb 0.0000 0.5000 0.2211 (multiplicity 4)  8 Cl 3.33-3.51
Sb 0.0000 0.0000 0.5000 (multiplicity 1)  6 Cl 2.41-2.43
Rh 0.5000 0.5000 0.0000 (multiplicity 1)  6 Cl 2.33
Cl 0.0000 0.0000 0.2606 (multiplicity 2)  1 Sb 2.43
Cl 0.2446 0.2446 0.5000 (multiplicity 4)  1 Sb 2.41
Cl 0.2640 0.2640 0.0000 (multiplicity 4)  1 Rh 2.33
Cl 0.5000 0.5000 0.2303 (multiplicity 2)  1 Rh 2.33

5.
Material: Zr2InMoRh
Method: DFT, meta-GGA SCAN
State: PBEsol geometry

## Properties
The value obtained for the density of states at the Fermi level is 3.31 states/eV per cell. Its electronic total energy is -31.85 eV/atom.

Unit cell a=4.8046 b=4.8046 c=5.0713 alpha=90.00 beta=90.00 gamma=90.00
With the nearest neighbours (Å) after each atom.
Space group P4/mmm (No. 123)
One atom of each set of equivalent atoms:
Zr 0.0000 0.5000 0.0000 (multiplicity 2)  2 Mo 2.40
In 0.0000 0.0000 0.5000 (multiplicity 1)  2 Mo 2.54
Mo 0.0000 0.0000 0.0000 (multiplicity 1)  4 Zr 2.40, 2 In 2.54
Rh 0.5000 0.5000 0.5000 (multiplicity 1)  4 In 3.40, 8 Zr 3.49

6.
Material: CaCr3Cd
Method: DFT, meta-GGA SCAN
State: PBEsol geometry

## Properties
The value obtained for the density of states at the Fermi level is 3.20 states/eV per cell. Its energy above the most stable polymorph in this dataset is 0 kJ/mol of formula units. Its electronic total energy is -18.18 eV/atom.

Unit cell a=5.0759 b=5.0759 c=5.0759 alpha=90.00 beta=90.00 gamma=90.00
With the nearest neighbours (Å) after each atom.
Space group Pm-3m (No. 221)
One atom of each set of equivalent atoms:
Ca 0.0000 0.0000 0.0000 (multiplicity 1)  12 Cr 3.59
Cr 0.0000 0.5000 0.5000 (multiplicity 3)  2 Cd 2.54
Cd 0.5000 0.5000 0.5000 (multiplicity 1)  6 Cr 2.54

Which formula does entry 1 have? ScAlCl2

Number 2 is which compound? CaNi2Pb2

Please write out number 6 again, unchanged.
Material: CaCr3Cd
Method: DFT, meta-GGA SCAN
State: PBEsol geometry

## Properties
The value obtained for the density of states at the Fermi level is 3.20 states/eV per cell. Its energy above the most stable polymorph in this dataset is 0 kJ/mol of formula units. Its electronic total energy is -18.18 eV/atom.

Unit cell a=5.0759 b=5.0759 c=5.0759 alpha=90.00 beta=90.00 gamma=90.00
With the nearest neighbours (Å) after each atom.
Space group Pm-3m (No. 221)
One atom of each set of equivalent atoms:
Ca 0.0000 0.0000 0.0000 (multiplicity 1)  12 Cr 3.59
Cr 0.0000 0.5000 0.5000 (multiplicity 3)  2 Cd 2.54
Cd 0.5000 0.5000 0.5000 (multiplicity 1)  6 Cr 2.54

Which value of electronic total energy does entry 2 give? -38.78 eV/atom